Record 1
K3RbAg2P2: relaxed, PBE.

Calculated values
Raw total energy in eV per cell: -23.4

Unit cell a=6.3230 b=6.0633 c=6.3685 alpha=90.00 beta=104.40 gamma=90.00
Last column: nearest neighbours and their distance in Å.
Fractional positions:
K  0.3116  0.0000  0.9680  4 P 3.35-3.58, 1 Rb 3.45, 2 Ag 3.64, 2 K 3.73
K  0.0332  0.5000  0.6885  4 P 3.43-3.61, 3 K 3.44-3.73, 4 Ag 3.61-3.77, 2 Rb 3.83
Rb  0.9664  0.0000  0.3104  5 K 3.45-3.83, 4 P 3.46-3.60, 4 Ag 3.63-3.77
Ag  0.5014  0.2508  0.5004  2 P 2.47
K  0.6876  0.5000  0.0298  4 P 3.37-3.56, 1 K 3.44, 2 Ag 3.61, 2 Rb 3.73
P  0.7462  0.0000  0.7564  2 Ag 2.47
P  0.2521  0.5000  0.2462  2 Ag 2.47
Ag  0.5014  0.7492  0.5004  2 P 2.47

---

Record 2
AcTcW: relaxed, PBE.

Calculated values
Energy above the lowest structure with this stoichiometry in meV per atom: 1044
Size of the total moment in μB/f.u.: 0.01
ΔH_f (0 K) in eV/atom: 2.102

Unit cell a=4.6074 b=4.6074 c=4.6074 alpha=60.00 beta=60.00 gamma=60.00
Last column: nearest neighbours and their distance in Å.
Fractional positions:
Tc  0.2500  0.2500  0.2500  4 Ac 2.82
W  0.7500  0.7500  0.7500  4 Ac 2.82
Ac  0.0000  0.0000  0.0000  4 W 2.82, 4 Tc 2.82

---

Record 3
NdAl2Ga: relaxed, PBE.

Calculated values
Energy above the lowest structure with this stoichiometry in meV per atom: 3
Size of the total moment in μB/f.u.: 0.00

Unit cell a=4.5617 b=6.5013 c=6.5013 alpha=119.81 beta=90.00 gamma=90.00
Last column: nearest neighbours and their distance in Å.
Fractional positions:
Al  0.7500  0.8597  0.7170  5 Al 2.75-2.79, 1 Ga 2.77
Al  0.2500  0.7170  0.8597  5 Al 2.75-2.79, 1 Ga 2.77
Nd  0.7500  0.3331  0.6644  4 Ga 3.12-3.27, 8 Al 3.15-3.28
Ga  0.2500  0.1400  0.2863  4 Al 2.77-2.78, 2 Ga 2.81
Ga  0.7500  0.2863  0.1400  4 Al 2.77-2.78, 2 Ga 2.81
Al  0.2500  0.1401  0.8596  3 Al 2.75-2.78, 3 Ga 2.77-2.78
Al  0.7500  0.8596  0.1401  3 Al 2.75-2.78, 3 Ga 2.77-2.78
Nd  0.2500  0.6644  0.3331  4 Ga 3.12-3.27, 8 Al 3.15-3.28

---

Record 4
HfTaGa: relaxed, PBE.

Calculated values
Energy above the lowest structure with this stoichiometry in meV per atom: 1156
Size of the total moment in μB/f.u.: 1.73

Unit cell a=4.5833 b=4.5833 c=4.5833 alpha=60.00 beta=60.00 gamma=60.00
Last column: nearest neighbours and their distance in Å.
Fractional positions:
Hf  0.7500  0.7500  0.7500  4 Ta 2.81
Ga  0.2500  0.2500  0.2500  4 Ta 2.81
Ta  0.0000  0.0000  0.0000  4 Ga 2.81, 4 Hf 2.81

---

Record 5
GePd: relaxed, PBE.

Calculated values
Raw total energy in eV per cell: -10.1

Unit cell a=3.6926 b=3.6926 c=3.6926 alpha=60.00 beta=60.00 gamma=60.00
Last column: nearest neighbours and their distance in Å.
Fractional positions:
Ge  0.0000  0.0000  0.0000  6 Pd 2.61
Pd  0.5000  0.5000  0.5000  6 Ge 2.61

---

Record 6
BeHg2: relaxed, PBE.

Calculated values
Energy above the lowest structure with this stoichiometry in meV per atom: 0

Unit cell a=7.7406 b=7.7406 c=7.7406 alpha=60.00 beta=60.00 gamma=60.00
Last column: nearest neighbours and their distance in Å.
Fractional positions:
Hg  0.3750  0.8750  0.3750  2 Be 2.37
Be  0.2500  0.2500  0.2500  4 Hg 2.37
Hg  0.3750  0.3750  0.3750  2 Be 2.37
Hg  0.3750  0.3750  0.8750  2 Be 2.37
Be  0.5000  0.5000  0.5000  4 Hg 2.37
Hg  0.8750  0.3750  0.3750  2 Be 2.37

---

Record 7
YCdNO: relaxed, PBE.

Calculated values
Energy above the lowest structure with this stoichiometry in meV per atom: 83
Size of the total moment in μB/f.u.: 0.00

Unit cell a=6.0617 b=6.3171 c=7.5084 alpha=90.00 beta=90.00 gamma=90.00
Last column: nearest neighbours and their distance in Å.
Fractional positions:
N  0.6227  0.5640  0.8638  1 Y 2.14, 3 Cd 2.20-2.24
N  0.6227  0.0640  0.1362  1 Y 2.14, 3 Cd 2.20-2.24
Y  0.4831  0.9216  0.3695  1 N 2.14, 3 O 2.19-2.22
Y  0.9831  0.5784  0.3695  1 N 2.14, 3 O 2.19-2.22
Cd  0.9758  0.1196  0.0896  3 N 2.20-2.24
O  0.1208  0.3961  0.5931  3 Y 2.19-2.22
Cd  0.9758  0.6196  0.9104  3 N 2.20-2.24
O  0.6208  0.6039  0.4069  3 Y 2.19-2.22
O  0.6208  0.1039  0.5931  3 Y 2.19-2.22
Y  0.9831  0.0784  0.6305  1 N 2.14, 3 O 2.19-2.22
Cd  0.4758  0.3804  0.0896  3 N 2.20-2.24
N  0.1227  0.9360  0.8638  1 Y 2.14, 3 Cd 2.20-2.24
Y  0.4831  0.4216  0.6305  1 N 2.14, 3 O 2.19-2.22
N  0.1227  0.4360  0.1362  1 Y 2.14, 3 Cd 2.20-2.24
O  0.1208  0.8961  0.4069  3 Y 2.19-2.22
Cd  0.4758  0.8804  0.9104  3 N 2.20-2.24

---

Record 8
Nb2Pd2O5: relaxed, PBE.

Calculated values
Energy above the lowest structure with this stoichiometry in meV per atom: 988
Size of the total moment in μB/f.u.: 1.91

Unit cell a=6.6394 b=4.0147 c=4.0147 alpha=90.00 beta=90.00 gamma=90.00
Last column: nearest neighbours and their distance in Å.
Fractional positions:
Pd  0.8113  0.5000  0.5000  5 O 2.01-2.07
Nb  0.5000  0.0000  0.0000  12 O 2.84-2.86
O  0.8077  0.5000  0.0000  2 Pd 2.01
O  0.1923  0.5000  0.0000  2 Pd 2.01
O  0.1923  0.0000  0.5000  2 Pd 2.01
Nb  0.0000  0.0000  0.0000  8 O 2.38
O  0.5000  0.5000  0.5000  2 Pd 2.07
O  0.8077  0.0000  0.5000  2 Pd 2.01
Pd  0.1887  0.5000  0.5000  5 O 2.01-2.07